Entry 1:
# RbCdPO

A relaxed RbCdPO crystal (PBE, OQMD via LeMat-Bulk).

Space-group type   No. 129
Uncorrected energy   -22.419 eV per cell

Cell: 4.481 4.481 11.049 Å, 90.00 90.00 90.00°
Positions (direct):
Cd1 0.000 0.500 0.054
Cd2 0.500 0.000 0.946
O1 0.000 0.000 0.000
O2 0.500 0.500 0.000
P1 0.000 0.500 0.288
P2 0.500 0.000 0.712
Rb1 0.000 0.000 0.500
Rb2 0.500 0.500 0.500



Entry 2:
# RbCdPO

A relaxed RbCdPO crystal (PBE, OQMD via LeMat-Bulk).

Space-group type   No. 51
Uncorrected energy   -27.328 eV per cell

Cell: 5.092 4.404 7.659 Å, 90.00 90.00 90.00°
Positions (direct):
Cd1 0.750 0.500 0.255
Cd2 0.250 0.500 0.745
O1 0.000 0.500 0.500
O2 0.500 0.500 0.500
P1 0.750 0.000 0.059
P2 0.250 0.000 0.941
Rb1 0.250 0.000 0.358
Rb2 0.750 0.000 0.642



Entry 3:
# RbCdPO

A relaxed RbCdPO crystal (PBE, OQMD via LeMat-Bulk).

Space-group type   No. 26
Uncorrected energy   -27.650 eV per cell

Cell: 3.391 9.586 5.610 Å, 90.00 90.00 90.00°
Positions (direct):
Cd1 0.000 0.724 0.480
Cd2 0.000 0.276 0.980
O1 0.500 0.862 0.481
O2 0.500 0.138 0.981
P1 0.000 0.478 0.311
P2 0.000 0.522 0.811
Rb1 0.500 0.140 0.482
Rb2 0.500 0.860 0.982



Entry 4:
# Cd2SiP4O14

A relaxed Cd2SiP4O14 crystal (PBE, OQMD via LeMat-Bulk).

Space-group type   No. 15
Uncorrected energy   -284.042 eV per cell

Cell: 5.081 8.941 12.470 Å, 103.30 90.00 106.51°
Positions (direct):
Cd1 0.399 0.488 0.132
Cd2 0.911 0.512 0.368
Cd3 0.089 0.488 0.632
Cd4 0.601 0.512 0.868
O1 0.871 0.170 0.008
O2 0.806 0.592 0.050
O3 0.472 0.253 0.107
O4 0.309 0.715 0.134
O5 0.699 0.072 0.168
O6 0.966 0.865 0.178
O7 0.970 0.371 0.193
O8 0.600 0.629 0.307
O9 0.102 0.135 0.322
O10 0.626 0.928 0.332
O11 0.594 0.285 0.366
O12 0.219 0.747 0.393
O13 0.215 0.408 0.450
O14 0.702 0.830 0.492
O15 0.298 0.170 0.508
O16 0.785 0.592 0.550
O17 0.781 0.253 0.607
O18 0.406 0.715 0.634
O19 0.374 0.072 0.668
O20 0.898 0.865 0.678
O21 0.400 0.371 0.693
O22 0.030 0.629 0.807
O23 0.034 0.135 0.822
O24 0.301 0.928 0.832
O25 0.691 0.285 0.866
O26 0.528 0.747 0.893
O27 0.194 0.408 0.950
O28 0.129 0.830 0.992
P1 0.053 0.738 0.089
P2 0.747 0.229 0.124
P3 0.518 0.771 0.376
P4 0.315 0.262 0.411
P5 0.685 0.738 0.589
P6 0.482 0.229 0.624
P7 0.253 0.771 0.876
P8 0.947 0.262 0.911
Si1 0.846 0.000 0.250
Si2 0.154 0.000 0.750



Entry 5:
# CdSnPO

A relaxed CdSnPO crystal (PBE, OQMD via LeMat-Bulk).

Space-group type   No. 26
Uncorrected energy   -34.470 eV per cell

Cell: 4.228 6.352 6.193 Å, 90.00 90.00 90.00°
Positions (direct):
Cd1 0.000 0.338 0.023
Cd2 0.000 0.662 0.523
O1 0.000 0.318 0.396
O2 0.000 0.682 0.896
P1 0.500 0.819 0.374
P2 0.500 0.181 0.874
Sn1 0.500 0.215 0.461
Sn2 0.500 0.785 0.961



Entry 6:
# CdSnPO

A relaxed CdSnPO crystal (PBE, OQMD via LeMat-Bulk).

Space-group type   No. 129
Uncorrected energy   -32.320 eV per cell

Cell: 4.595 4.595 8.690 Å, 90.00 90.00 90.00°
Positions (direct):
Cd1 0.750 0.750 0.025
Cd2 0.250 0.250 0.975
O1 0.750 0.250 0.000
O2 0.250 0.750 0.000
P1 0.750 0.750 0.347
P2 0.250 0.250 0.653
Sn1 0.750 0.250 0.500
Sn2 0.250 0.750 0.500



Entry 7:
# CdSnPO

A relaxed CdSnPO crystal (PBE, OQMD via LeMat-Bulk).

Space-group type   No. 129
Uncorrected energy   -33.640 eV per cell

Cell: 3.999 3.999 9.477 Å, 90.00 90.00 90.00°
Positions (direct):
Cd1 0.000 0.000 0.500
Cd2 0.500 0.500 0.500
O1 0.000 0.000 0.000
O2 0.500 0.500 0.000
P1 0.500 0.000 0.314
P2 0.000 0.500 0.686
Sn1 0.000 0.500 0.119
Sn2 0.500 0.000 0.881



Entry 8:
# CdSnPO

A relaxed CdSnPO crystal (PBE, OQMD via LeMat-Bulk).

Space-group type   No. 26
Uncorrected energy   -34.231 eV per cell

Cell: 3.855 6.673 6.678 Å, 90.00 90.00 90.00°
Positions (direct):
Cd1 0.000 0.203 0.489
Cd2 0.000 0.797 0.989
O1 0.500 0.367 0.365
O2 0.500 0.633 0.865
P1 0.000 0.837 0.372
P2 0.000 0.163 0.872
Sn1 0.500 0.357 0.028
Sn2 0.500 0.643 0.528



Entry 9:
# TaCdPO

A relaxed TaCdPO crystal (PBE, OQMD via LeMat-Bulk).

Space-group type   No. 129
Spin magnetization   0.21 μB per cell
Uncorrected energy   -51.406 eV per cell

Cell: 3.514 3.514 10.457 Å, 90.00 90.00 90.00°
Site moments in Bohr magnetons follow the coordinates.
Positions (direct):
Cd1 0.000 0.000 0.500  0.00
Cd2 0.500 0.500 0.500  0.00
O1 0.000 0.000 0.000  0.00
O2 0.500 0.500 0.000  0.00
P1 0.500 0.000 0.234  -0.01
P2 0.000 0.500 0.766  -0.01
Ta1 0.000 0.500 0.125  0.09
Ta2 0.500 0.000 0.875  0.09



Entry 10:
# TaCdPO

A relaxed TaCdPO crystal (PBE, OQMD via LeMat-Bulk).

Space-group type   No. 26
Spin magnetization   0.00 μB per cell
Uncorrected energy   -53.011 eV per cell

Cell: 3.420 6.746 7.195 Å, 90.00 90.00 90.00°
Positions (direct):
Cd1 0.000 0.293 0.058
Cd2 0.000 0.707 0.558
O1 0.500 0.959 0.258
O2 0.500 0.041 0.758
P1 0.000 0.343 0.443
P2 0.000 0.657 0.943
Ta1 0.500 0.096 0.495
Ta2 0.500 0.904 0.995



Entry 11:
# TaCdPO

A relaxed TaCdPO crystal (PBE, OQMD via LeMat-Bulk).

Space-group type   No. 129
Spin magnetization   0.08 μB per cell
Uncorrected energy   -49.356 eV per cell

Cell: 4.157 4.157 8.101 Å, 90.00 90.00 90.00°
Site moments in Bohr magnetons follow the coordinates.
Positions (direct):
Cd1 0.000 0.500 0.100  -0.01
Cd2 0.500 0.000 0.900  -0.01
O1 0.000 0.000 0.000  -0.05
O2 0.500 0.500 0.000  -0.05
P1 0.500 0.000 0.331  0.00
P2 0.000 0.500 0.669  0.00
Ta1 0.000 0.000 0.500  0.00
Ta2 0.500 0.500 0.500  0.00



Entry 12:
# TaCdPO

A relaxed TaCdPO crystal (PBE, OQMD via LeMat-Bulk).

Space-group type   No. 26
Spin magnetization   0.00 μB per cell
Uncorrected energy   -53.779 eV per cell

Cell: 3.837 8.152 4.966 Å, 90.00 90.00 90.00°
Positions (direct):
Cd1 0.500 0.595 0.479
Cd2 0.500 0.405 0.979
O1 0.500 0.161 0.426
O2 0.500 0.839 0.926
P1 0.000 0.821 0.423
P2 0.000 0.179 0.923
Ta1 0.000 0.120 0.426
Ta2 0.000 0.880 0.926



Entry 13:
# TaCdPO

A relaxed TaCdPO crystal (PBE, OQMD via LeMat-Bulk).

Space-group type   No. 129
Spin magnetization   0.16 μB per cell
Uncorrected energy   -49.373 eV per cell

Cell: 4.214 4.214 7.810 Å, 90.00 90.00 90.00°
Site moments in Bohr magnetons follow the coordinates.
Positions (direct):
Cd1 0.000 0.500 0.098  -0.01
Cd2 0.500 0.000 0.902  -0.01
O1 0.000 0.000 0.000  -0.07
O2 0.500 0.500 0.000  -0.07
P1 0.500 0.000 0.332  0.00
P2 0.000 0.500 0.668  0.00
Ta1 0.000 0.000 0.500  0.00
Ta2 0.500 0.500 0.500  0.00



Entry 14:
# TbCdPO

A relaxed TbCdPO crystal (PBE, OQMD via LeMat-Bulk).

Space-group type   No. 26
Spin magnetization   0.00 μB per cell
Uncorrected energy   -43.660 eV per cell

Cell: 4.337 6.616 5.849 Å, 90.00 90.00 90.00°
Positions (direct):
Cd1 0.000 0.359 0.003
Cd2 0.000 0.641 0.503
O1 0.000 0.307 0.411
O2 0.000 0.693 0.911
P1 0.500 0.798 0.415
P2 0.500 0.202 0.915
Tb1 0.500 0.217 0.425
Tb2 0.500 0.783 0.925



Entry 15:
# TbCdPO

A relaxed TbCdPO crystal (PBE, OQMD via LeMat-Bulk).

Space-group type   No. 26
Spin magnetization   0.00 μB per cell
Uncorrected energy   -43.493 eV per cell

Cell: 3.978 6.125 6.660 Å, 90.00 90.00 90.00°
Positions (direct):
Cd1 0.000 0.592 0.471
Cd2 0.000 0.408 0.971
O1 0.500 0.764 0.368
O2 0.500 0.236 0.868
P1 0.000 0.210 0.324
P2 0.000 0.790 0.824
Tb1 0.500 0.961 0.091
Tb2 0.500 0.039 0.591



Entry 16:
# CdTePO

A relaxed CdTePO crystal (PBE, OQMD via LeMat-Bulk).

Space-group type   No. 129
Uncorrected energy   -29.067 eV per cell

Cell: 4.804 4.804 7.733 Å, 90.00 90.00 90.00°
Positions (direct):
Cd1 0.500 0.500 0.012
Cd2 0.000 0.000 0.988
O1 0.500 0.000 0.000
O2 0.000 0.500 0.000
P1 0.500 0.500 0.371
P2 0.000 0.000 0.629
Te1 0.500 0.000 0.500
Te2 0.000 0.500 0.500



Entry 17:
# CdTePO

A relaxed CdTePO crystal (PBE, OQMD via LeMat-Bulk).

Space-group type   No. 26
Uncorrected energy   -30.186 eV per cell

Cell: 3.517 7.263 6.673 Å, 90.00 90.00 90.00°
Positions (direct):
Cd1 0.000 0.629 0.491
Cd2 0.000 0.371 0.991
O1 0.500 0.755 0.323
O2 0.500 0.245 0.823
P1 0.000 0.291 0.370
P2 0.000 0.709 0.870
Te1 0.500 0.899 0.070
Te2 0.500 0.101 0.570



Entry 18:
# CdTePO

A relaxed CdTePO crystal (PBE, OQMD via LeMat-Bulk).

Space-group type   No. 129
Uncorrected energy   -28.061 eV per cell

Cell: 4.086 4.086 8.859 Å, 90.00 90.00 90.00°
Positions (direct):
Cd1 0.000 0.000 0.500
Cd2 0.500 0.500 0.500
O1 0.000 0.000 0.000
O2 0.500 0.500 0.000
P1 0.500 0.000 0.298
P2 0.000 0.500 0.702
Te1 0.000 0.500 0.128
Te2 0.500 0.000 0.872



Entry 19:
# CdTePO

A relaxed CdTePO crystal (PBE, OQMD via LeMat-Bulk).

Space-group type   No. 26
Uncorrected energy   -30.448 eV per cell

Cell: 4.476 6.598 5.670 Å, 90.00 90.00 90.00°
Positions (direct):
Cd1 0.000 0.845 0.001
Cd2 0.000 0.155 0.501
O1 0.000 0.811 0.414
O2 0.000 0.189 0.914
P1 0.500 0.311 0.383
P2 0.500 0.689 0.883
Te1 0.500 0.746 0.455
Te2 0.500 0.254 0.955



Entry 20:
# TmCd2P2O8

A relaxed TmCd2P2O8 crystal (PBE, OQMD via LeMat-Bulk).

Space-group type   No. 2
Spin magnetization   0.77 μB per cell
Uncorrected energy   -84.993 eV per cell

Cell: 5.205 5.243 6.794 Å, 69.06 86.55 69.45°
Site moments in Bohr magnetons follow the coordinates.
Positions (direct):
Cd1 0.262 0.230 0.395  -0.14
Cd2 0.738 0.770 0.605  -0.14
O1 0.289 0.238 0.055  -0.02
O2 0.374 0.657 0.225  -0.01
O3 0.813 0.245 0.229  -0.03
O4 0.851 0.672 0.300  -0.03
O5 0.149 0.328 0.700  -0.03
O6 0.187 0.755 0.771  -0.03
O7 0.626 0.343 0.775  -0.01
O8 0.711 0.762 0.945  -0.02
P1 0.679 0.580 0.174  0.00
P2 0.321 0.420 0.826  0.00
Tm1 0.000 0.000 0.000  0.00



Values of ρ, in order: 3.66, 4.73, 4.46, 3.78, 5.55, 5.03, 6.09, 5.38, 8.76, 6.81, 8.08, 7.28, 8.15, 6.30, 6.51, 5.34, 5.59, 6.44, 5.69, 5.99, all in g/cm3.